KRe2Br | GGA-PBEsol | relaxed

Properties
Crystal system   cubic
Energy relative to the elements, uncorrected   10.29 eV/f.u.
Distance to the lowest polymorph of the same formula   1.391 eV per atom

Lattice parameters (Å, degrees): 4.597 4.597 4.597 60.00 60.00 60.00
Positions (direct):
K: 0.000 0.000 0.000
Re: 0.250 0.250 0.250
Re: 0.750 0.750 0.750
Br: 0.500 0.500 0.500

***

KRe2Br | GGA-PBEsol | relaxed

Properties
Crystal system   trigonal
Energy relative to the elements, uncorrected   5.80 eV/f.u.
Distance to the lowest polymorph of the same formula   0.267 eV per atom

Lattice parameters (Å, degrees): 2.873 2.873 10.398 82.06 82.06 60.00
Positions (direct):
K: 0.000 0.000 0.000
Re: 0.237 0.237 0.290
Re: 0.763 0.763 0.710
Br: 0.500 0.500 0.500

***

KRh2Br | GGA-PBEsol | relaxed

Properties
Crystal system   orthorhombic
Energy relative to the elements, uncorrected   1.97 eV/f.u.
Distance to the lowest polymorph of the same formula   0.325 eV per atom

Lattice parameters (Å, degrees): 2.897 4.871 5.891 114.42 104.23 90.00
Positions (direct):
Rh: 0.779 0.779 0.558
Rh: 0.221 0.221 0.442
Br: 0.500 0.000 0.000
K: 0.000 0.500 0.000

***

KRh2Br | GGA-PBEsol | relaxed

Properties
Crystal system   monoclinic
Energy relative to the elements, uncorrected   1.07 eV/f.u.
Distance to the lowest polymorph of the same formula   0.099 eV per atom

Lattice parameters (Å, degrees): 3.838 4.556 6.337 110.13 90.00 114.91
Site moments in Bohr magnetons follow the coordinates.
Positions (direct):
Br: 0.548 0.095 0.617  0.02
Rh: 0.952 0.905 0.825  0.47
Rh: 0.267 0.535 0.820  0.47
K: 0.733 0.466 0.238  0.00

***

KRh2Br | GGA-PBEsol | relaxed

Properties
Crystal system   orthorhombic
Energy relative to the elements, uncorrected   0.68 eV/f.u.
Distance to the lowest polymorph of the same formula   0.000 eV per atom

Lattice parameters (Å, degrees): 3.262 3.323 7.973 90.00 101.83 90.00
Site moments in Bohr magnetons follow the coordinates.
Positions (direct):
Rh: 0.975 0.000 0.076  0.68
Rh: 0.538 0.500 0.202  0.67
Br: 0.674 0.000 0.473  0.03
K: 0.313 0.500 0.749  0.00

***

KRh2Br | GGA-PBEsol | relaxed

Properties
Crystal system   tetragonal
Energy relative to the elements, uncorrected   2.76 eV/f.u.
Distance to the lowest polymorph of the same formula   0.522 eV per atom

Lattice parameters (Å, degrees): 3.914 3.914 4.996 90.00 90.00 90.00
Site moments in Bohr magnetons follow the coordinates.
Positions (direct):
K: 0.000 0.000 0.500  -0.01
Rh: 0.000 0.500 0.000  0.81
Rh: 0.500 0.000 0.000  0.81
Br: 0.500 0.500 0.500  0.05

***

K2SnRhBr | GGA-PBEsol | relaxed

Properties
Crystal system   tetragonal
Energy relative to the elements, uncorrected   -0.97 eV/f.u.

Lattice parameters (Å, degrees): 4.930 5.947 5.947 90.00 90.00 90.00
Positions (direct):
Sn: 0.500 0.000 0.000
Rh: 0.000 0.000 0.000
K: 0.000 0.000 0.500
K: 0.000 0.500 0.000
Br: 0.500 0.500 0.500

***

KZnRh2Br | GGA-PBEsol | relaxed

Properties
Crystal system   tetragonal
Energy relative to the elements, uncorrected   9.57 eV/f.u.

Lattice parameters (Å, degrees): 4.807 4.807 5.161 90.00 90.00 90.00
Site moments in Bohr magnetons follow the coordinates.
Positions (direct):
K: 0.000 0.000 0.000  0.00
Rh: 0.000 0.500 0.000  0.91
Rh: 0.500 0.000 0.000  0.91
Br: 0.500 0.500 0.500  0.12
Zn: 0.000 0.000 0.500  0.02

***

KRuBr3 | GGA-PBEsol | relaxed

Properties
Crystal system   cubic
Energy relative to the elements, uncorrected   -2.67 eV/f.u.

Lattice parameters (Å, degrees): 5.099 5.099 5.099 90.00 90.00 90.00
Site moments in Bohr magnetons follow the coordinates.
Positions (direct):
Br: 0.000 0.000 0.500  0.04
Br: 0.000 0.500 0.000  0.04
Br: 0.500 0.000 0.000  0.04
Ru: 0.000 0.000 0.000  1.13
K: 0.500 0.500 0.500  0.00

***

K2RuSBr | GGA-PBEsol | relaxed

Properties
Crystal system   tetragonal
Energy relative to the elements, uncorrected   1.49 eV/f.u.

Lattice parameters (Å, degrees): 4.696 5.896 5.896 90.00 90.00 90.00
Site moments in Bohr magnetons follow the coordinates.
Positions (direct):
Ru: 0.500 0.000 0.000  2.06
S: 0.500 0.500 0.500  0.34
K: 0.000 0.500 0.000  0.00
K: 0.000 0.000 0.500  0.00
Br: 0.000 0.000 0.000  0.09

***

KRuSeBr2 | GGA-PBEsol | relaxed

Properties
Crystal system   tetragonal
Energy relative to the elements, uncorrected   -2.48 eV/f.u.

Lattice parameters (Å, degrees): 4.598 5.291 5.291 90.00 90.00 90.00
Positions (direct):
Br: 0.000 0.000 0.500
Br: 0.000 0.500 0.000
Ru: 0.000 0.000 0.000
K: 0.500 0.500 0.500
Se: 0.500 0.000 0.000

***

KSeSBr2 | GGA-PBEsol | relaxed

Properties
Crystal system   tetragonal
Energy relative to the elements, uncorrected   3.63 eV/f.u.

Lattice parameters (Å, degrees): 5.955 5.955 6.024 90.00 90.00 90.00
Site moments in Bohr magnetons follow the coordinates.
Positions (direct):
Br: 0.000 0.500 0.000  0.36
Br: 0.500 0.000 0.000  0.36
K: 0.000 0.000 0.000  0.01
S: 0.500 0.500 0.500  1.26
Se: 0.000 0.000 0.500  1.13

***

K2Sb2Br | GGA-PBEsol | relaxed

Properties
Crystal system   tetragonal
Energy relative to the elements, uncorrected   -3.98 eV/f.u.

Lattice parameters (Å, degrees): 4.220 4.220 10.022 102.15 102.15 90.00
Positions (direct):
K: 0.405 0.405 0.810
K: 0.595 0.595 0.190
Sb: 0.250 0.750 0.500
Sb: 0.750 0.250 0.500
Br: 0.000 0.000 0.000

***

K3SbBr6 | GGA-PBEsol | relaxed

Properties
Crystal system   cubic
Energy relative to the elements, uncorrected   -12.01 eV/f.u.

Lattice parameters (Å, degrees): 8.214 8.214 8.214 60.00 60.00 60.00
Positions (direct):
K: 0.750 0.750 0.750
K: 0.500 0.500 0.500
K: 0.250 0.250 0.250
Br: 0.762 0.238 0.762
Br: 0.238 0.762 0.762
Br: 0.762 0.762 0.238
Br: 0.238 0.238 0.762
Br: 0.762 0.238 0.238
Br: 0.238 0.762 0.238
Sb: 0.000 0.000 0.000

***

KSbSeBr2 | GGA-PBEsol | relaxed

Properties
Crystal system   tetragonal
Energy relative to the elements, uncorrected   1.90 eV/f.u.

Lattice parameters (Å, degrees): 5.548 5.548 5.715 90.00 90.00 90.00
Site moments in Bohr magnetons follow the coordinates.
Positions (direct):
Br: 0.000 0.500 0.000  0.04
Br: 0.500 0.000 0.000  0.04
Sb: 0.500 0.500 0.500  -0.45
Se: 0.000 0.000 0.500  0.59
K: 0.000 0.000 0.000  0.02

***

KScBr2 | GGA-PBEsol | relaxed

Properties
Crystal system   cubic
Energy relative to the elements, uncorrected   -1.13 eV/f.u.
Distance to the lowest polymorph of the same formula   0.716 eV per atom

Lattice parameters (Å, degrees): 5.389 5.389 5.389 60.00 60.00 60.00
Site moments in Bohr magnetons follow the coordinates.
Positions (direct):
Br: 0.000 0.000 0.000  -0.02
Br: 0.750 0.750 0.750  -0.01
K: 0.500 0.500 0.500  0.05
Sc: 0.250 0.250 0.250  1.18

***

KScBr2 | GGA-PBEsol | relaxed

Properties
Crystal system   orthorhombic
Energy relative to the elements, uncorrected   -4.00 eV/f.u.
Distance to the lowest polymorph of the same formula   0.000 eV per atom

Lattice parameters (Å, degrees): 3.688 3.806 9.148 90.00 90.00 118.98
Site moments in Bohr magnetons follow the coordinates.
Positions (direct):
Sc: 0.500 0.000 0.000  0.06
Br: 0.000 0.000 0.225  0.00
Br: 0.000 0.000 0.775  0.00
K: 0.500 0.000 0.500  0.00

***

K2ScTlBr6 | GGA-PBEsol | relaxed

Properties
Crystal system   cubic
Energy relative to the elements, uncorrected   -14.74 eV/f.u.

Lattice parameters (Å, degrees): 8.039 8.039 8.039 60.00 60.00 60.00
Positions (direct):
Tl: 0.500 0.500 0.500
Br: 0.230 0.770 0.230
Br: 0.230 0.770 0.770
Br: 0.770 0.230 0.230
Br: 0.230 0.230 0.770
Br: 0.770 0.230 0.770
Br: 0.770 0.770 0.230
K: 0.750 0.750 0.750
K: 0.250 0.250 0.250
Sc: 0.000 0.000 0.000

***

KSeBr2 | GGA-PBEsol | relaxed

Properties
Crystal system   cubic
Energy relative to the elements, uncorrected   -1.43 eV/f.u.
Distance to the lowest polymorph of the same formula   0.182 eV per atom

Lattice parameters (Å, degrees): 5.426 5.426 5.426 60.00 60.00 60.00
Site moments in Bohr magnetons follow the coordinates.
Positions (direct):
K: 0.500 0.500 0.500  0.01
Br: 0.250 0.250 0.250  0.34
Br: 0.750 0.750 0.750  0.34
Se: 0.000 0.000 0.000  1.26

***

KSeBr2 | GGA-PBEsol | relaxed

Properties
Crystal system   tetragonal
Energy relative to the elements, uncorrected   -2.16 eV/f.u.
Distance to the lowest polymorph of the same formula   0.000 eV per atom

Lattice parameters (Å, degrees): 4.051 4.051 7.280 90.00 90.00 90.00
Positions (direct):
K: 0.000 0.000 0.450
Se: 0.500 0.500 0.863
Br: 0.500 0.500 0.302
Br: 0.000 0.000 0.885